(1)
Here is a relaxed KInGe crystal from Alexandria. Energies are from PBE-GGA.

Crystal system: orthorhombic
Calculated formation energy, eV per atom: -0.1258

Cell lengths 8.4651, 4.9284, 8.0968 Å; angles 90.00, 90.00, 90.00 degrees
Closest atoms and distances in Å follow each position.
Space group Pnma (No. 62)
Symmetry-distinct sites (fractional):
K 0.0087 0.2500 0.1710  6 Ge 3.40-3.79, 6 In 3.45-3.78, 2 K 3.71
In 0.1613 0.2500 0.5887  4 Ge 2.85-2.89
Ge 0.1755 0.7500 0.4018  4 In 2.85-2.89



(2)
Here is a relaxed Ba3Rh2O8 crystal from Alexandria. Energies are from PBE-GGA.

Crystal system: trigonal
Formation energy (no corrections), meV/atom: -1530

Cell lengths 5.9496, 5.9496, 22.0374 Å; angles 90.00, 90.00, 120.00 degrees
Closest atoms and distances in Å follow each position.
Space group R-3m (No. 166, hexagonal axes)
Symmetry-distinct sites (fractional):
Ba 0.0000 0.0000 0.0000  6 O 2.82
Ba 0.0000 0.0000 0.2049  4 O 2.58-2.82
Rh 0.0000 0.0000 0.4054  4 O 1.84-1.87
O 0.0000 0.0000 0.3221  1 Rh 1.84
O 0.0059 0.5030 0.7690  1 Rh 1.87